Record 1
A geometry-optimized Pu2Br4Cl structure, computed with PBE.

Lattice parameters (Å, degrees): 5.172 5.172 10.192 75.30 75.30 60.00
Each line ends with the local moment (μB).
Fractional positions:
Cl1 0.500 0.500 0.500  -0.04
Pu1 0.406 0.406 0.781  5.47
Br1 0.097 0.097 0.708  -0.04
Br2 0.903 0.903 0.292  -0.04
Br3 0.299 0.299 0.103  -0.04
Br4 0.701 0.701 0.897  -0.04
Pu2 0.594 0.594 0.219  5.47

Results
Formation energy (no corrections) ... -1.5530 eV/atom
Space group ... R-3m (166)
Crystal system ... trigonal
DFT total energy ... -6.87 eV per atom



Record 2
A geometry-optimized PuBrCl structure, computed with PBE.

Lattice parameters (Å, degrees): 4.076 4.076 14.596 93.09 94.93 119.95
Each line ends with the local moment (μB).
Fractional positions:
Br1 0.133 0.384 0.517  -0.04
Br2 0.529 0.727 0.256  -0.04
Cl1 0.925 0.824 0.749  -0.05
Pu1 0.795 0.335 0.131  5.68
Cl2 0.071 0.952 0.023  -0.05
Pu2 0.534 0.108 0.642  5.68

Results
Formation energy (no corrections) ... -1.5986 eV/atom
Space group ... Cm (8)
Polymorph energy (0 for the lowest one) ... 0.001 eV per atom
Crystal system ... monoclinic
DFT total energy ... -7.55 eV per atom



Record 3
A geometry-optimized Pu2Br8Cl structure, computed with PBE.

Lattice parameters (Å, degrees): 7.710 7.710 8.794 89.98 89.98 109.62
Each line ends with the local moment (μB).
Fractional positions:
Pu1 0.109 0.109 0.717  4.29
Br1 0.812 0.812 0.598  -0.11
Br2 0.897 0.317 0.718  -0.18
Br3 0.188 0.188 0.402  -0.11
Br4 0.317 0.897 0.718  -0.18
Br5 0.103 0.683 0.282  -0.18
Pu2 0.891 0.891 0.283  4.29
Br6 0.604 0.604 0.202  -0.15
Br7 0.683 0.103 0.282  -0.18
Br8 0.396 0.396 0.798  -0.15
Cl1 0.000 0.000 0.000  -0.06

Results
Formation energy (no corrections) ... -1.1709 eV/atom
Space group ... C2/m (12)
Crystal system ... monoclinic
DFT total energy ... -5.16 eV per atom



Record 4
A geometry-optimized Pu3Br3Cl4 structure, computed with PBE.

Lattice parameters (Å, degrees): 8.980 8.980 8.980 109.47 109.47 109.47
Each line ends with the local moment (μB).
Fractional positions:
Pu1 0.375 0.250 0.125  5.58
Pu2 0.875 0.625 0.750  5.58
Br1 0.375 0.125 0.750  -0.04
Br2 0.250 0.875 0.125  -0.04
Cl1 0.159 0.659 0.659  -0.04
Cl2 0.659 0.159 0.159  -0.04
Cl3 0.000 0.000 0.341  -0.04
Br3 0.875 0.250 0.625  -0.04
Pu3 0.125 0.750 0.375  5.58
Br4 0.125 0.375 0.250  -0.04
Br5 0.625 0.750 0.875  -0.04
Cl4 0.500 0.341 0.500  -0.04
Pu4 0.750 0.125 0.875  5.58
Cl5 0.841 0.500 0.000  -0.04
Cl6 0.341 0.500 0.000  -0.04
Br6 0.750 0.625 0.375  -0.04
Pu5 0.250 0.375 0.625  5.58
Pu6 0.625 0.875 0.250  5.58
Cl7 0.500 0.841 0.500  -0.04
Cl8 0.000 0.000 0.841  -0.04

Results
Formation energy (no corrections) ... -1.7248 eV/atom
Space group ... I-43d (220)
Crystal system ... cubic
DFT total energy ... -7.26 eV per atom



Record 5
A geometry-optimized PuBrCl structure, computed with PBE.

Lattice parameters (Å, degrees): 4.084 4.084 6.926 90.00 90.00 120.00
Each line ends with the local moment (μB).
Fractional positions:
Pu1 0.667 0.333 0.320  5.68
Cl1 0.000 0.000 0.099  -0.05
Br1 0.333 0.667 0.581  -0.04

Results
Formation energy (no corrections) ... -1.5993 eV/atom
Space group ... P3m1 (156)
Polymorph energy (0 for the lowest one) ... 0.000 eV per atom
Crystal system ... trigonal
DFT total energy ... -7.55 eV per atom



Record 6
A geometry-optimized RbPuBrCl3 structure, computed with PBE.

Lattice parameters (Å, degrees): 8.539 8.539 10.052 49.59 49.59 50.63
Each line ends with the local moment (μB).
Fractional positions:
Cl1 0.555 0.098 0.060  -0.03
Cl2 0.098 0.555 0.060  -0.03
Cl3 0.902 0.445 0.940  -0.03
Rb1 0.395 0.395 0.310  0.00
Cl4 0.903 0.903 0.309  -0.02
Cl5 0.097 0.097 0.691  -0.02
Pu1 0.871 0.871 0.824  5.04
Pu2 0.129 0.129 0.176  5.04
Br1 0.254 0.746 0.500  -0.04
Cl6 0.445 0.902 0.940  -0.03
Rb2 0.605 0.605 0.690  0.00
Br2 0.746 0.254 0.500  -0.04

Results
Formation energy (no corrections) ... -1.8539 eV/atom
Space group ... C2/m (12)
Crystal system ... monoclinic
DFT total energy ... -5.61 eV per atom



Record 7
A geometry-optimized Rb2PuBr4Cl2 structure, computed with PBE.

Lattice parameters (Å, degrees): 6.637 7.590 7.590 62.13 82.02 82.02
Each line ends with the local moment (μB).
Fractional positions:
Br1 0.701 0.346 0.840  -0.07
Rb1 0.762 0.331 0.331  0.00
Cl1 0.788 0.840 0.840  -0.06
Pu1 0.500 0.000 0.000  4.44
Br2 0.701 0.840 0.346  -0.07
Br3 0.299 0.654 0.160  -0.07
Br4 0.299 0.160 0.654  -0.07
Rb2 0.238 0.669 0.669  0.00
Cl2 0.212 0.160 0.160  -0.06

Results
Formation energy (no corrections) ... -1.6483 eV/atom
Space group ... C2/m (12)
Crystal system ... monoclinic
DFT total energy ... -4.61 eV per atom



Record 8
A geometry-optimized PuS2Br2Cl2 structure, computed with PBE.

Lattice parameters (Å, degrees): 4.265 9.162 7.294 78.61 73.00 76.54
Each line ends with the local moment (μB).
Fractional positions:
S1 0.081 0.441 0.398  0.51
Pu1 0.000 0.000 0.000  4.62
S2 0.919 0.559 0.602  0.51
Br1 0.592 0.084 0.732  -0.07
Cl1 0.822 0.264 0.092  -0.09
Br2 0.408 0.916 0.268  -0.07
Cl2 0.178 0.736 0.908  -0.09

Results
Formation energy (no corrections) ... -0.8944 eV/atom
Space group ... C2/m (12)
Crystal system ... monoclinic
DFT total energy ... -5.13 eV per atom



Record 9
A geometry-optimized PuTl2Br2Cl4 structure, computed with PBE.

Lattice parameters (Å, degrees): 7.659 7.568 7.568 58.51 64.11 64.11
Each line ends with the local moment (μB).
Fractional positions:
Tl1 0.286 0.745 0.745  0.00
Tl2 0.714 0.255 0.255  0.00
Cl1 0.672 0.815 0.307  -0.06
Cl2 0.328 0.185 0.693  -0.06
Cl3 0.328 0.693 0.185  -0.06
Br1 0.178 0.227 0.227  -0.07
Br2 0.822 0.773 0.773  -0.07
Cl4 0.672 0.307 0.815  -0.06
Pu1 0.500 0.000 0.000  4.41

Results
Formation energy (no corrections) ... -1.3271 eV/atom
Space group ... C2/m (12)
Crystal system ... monoclinic
DFT total energy ... -4.64 eV per atom



Record 10
A geometry-optimized PuTl2Br4Cl2 structure, computed with PBE.

Lattice parameters (Å, degrees): 7.655 7.699 7.699 60.88 62.80 62.80
Each line ends with the local moment (μB).
Fractional positions:
Tl1 0.276 0.745 0.745  0.00
Br1 0.312 0.190 0.691  -0.07
Cl1 0.188 0.216 0.216  -0.07
Tl2 0.724 0.255 0.255  0.00
Br2 0.312 0.691 0.190  -0.07
Br3 0.688 0.810 0.309  -0.07
Br4 0.688 0.309 0.810  -0.07
Cl2 0.812 0.784 0.784  -0.07
Pu1 0.500 0.000 0.000  4.45

Results
Formation energy (no corrections) ... -1.2277 eV/atom
Space group ... C2/m (12)
Crystal system ... monoclinic
DFT total energy ... -4.50 eV per atom



Record 11
A geometry-optimized Rb3BrCl2 structure, computed with PBE.

Lattice parameters (Å, degrees): 6.807 9.618 14.398 90.00 90.00 90.00
Fractional positions:
Cl1 0.250 0.379 0.085
Cl2 0.750 0.621 0.915
Br1 0.249 0.873 0.079
Rb1 0.250 0.615 0.911
Rb2 0.249 0.626 0.253
Rb3 0.750 0.885 0.411
Rb4 0.751 0.374 0.747
Cl3 0.749 0.125 0.246
Cl4 0.251 0.875 0.754
Cl5 0.749 0.625 0.254
Rb5 0.749 0.864 0.087
Cl6 0.250 0.879 0.415
Rb6 0.249 0.126 0.247
Br2 0.249 0.373 0.421
Br3 0.751 0.627 0.579
Cl7 0.251 0.375 0.746
Rb7 0.749 0.364 0.413
Br4 0.751 0.127 0.921
Rb8 0.251 0.636 0.587
Rb9 0.251 0.136 0.913
Rb10 0.750 0.385 0.089
Cl8 0.750 0.121 0.585
Rb11 0.250 0.115 0.589
Rb12 0.751 0.874 0.753

Results
Formation energy (no corrections) ... -1.8747 eV/atom
Space group ... P2_1/c (14)
Polymorph energy (0 for the lowest one) ... 0.002 eV per atom
Crystal system ... monoclinic
DFT total energy ... -3.25 eV per atom



Record 12
A geometry-optimized RbBrCl3 structure, computed with PBE.

Lattice parameters (Å, degrees): 4.116 7.703 7.703 131.68 90.00 90.00
Each line ends with the local moment (μB).
Fractional positions:
Br1 0.000 0.576 0.424  0.30
Cl1 0.000 0.285 0.715  0.20
Cl2 0.500 0.672 0.008  0.07
Rb1 0.500 0.102 0.898  0.00
Cl3 0.500 0.992 0.328  0.07

Results
Formation energy (no corrections) ... -0.4754 eV/atom
Space group ... Amm2 (38)
Polymorph energy (0 for the lowest one) ... 0.360 eV per atom
Crystal system ... orthorhombic
DFT total energy ... -2.11 eV per atom



- Which of these has the highest DFT total energy?
  RbBrCl3



Please write out number 4 again, unchanged.
A geometry-optimized Pu3Br3Cl4 structure, computed with PBE.

Lattice parameters (Å, degrees): 8.980 8.980 8.980 109.47 109.47 109.47
Each line ends with the local moment (μB).
Fractional positions:
Pu1 0.375 0.250 0.125  5.58
Pu2 0.875 0.625 0.750  5.58
Br1 0.375 0.125 0.750  -0.04
Br2 0.250 0.875 0.125  -0.04
Cl1 0.159 0.659 0.659  -0.04
Cl2 0.659 0.159 0.159  -0.04
Cl3 0.000 0.000 0.341  -0.04
Br3 0.875 0.250 0.625  -0.04
Pu3 0.125 0.750 0.375  5.58
Br4 0.125 0.375 0.250  -0.04
Br5 0.625 0.750 0.875  -0.04
Cl4 0.500 0.341 0.500  -0.04
Pu4 0.750 0.125 0.875  5.58
Cl5 0.841 0.500 0.000  -0.04
Cl6 0.341 0.500 0.000  -0.04
Br6 0.750 0.625 0.375  -0.04
Pu5 0.250 0.375 0.625  5.58
Pu6 0.625 0.875 0.250  5.58
Cl7 0.500 0.841 0.500  -0.04
Cl8 0.000 0.000 0.841  -0.04

Results
Formation energy (no corrections) ... -1.7248 eV/atom
Space group ... I-43d (220)
Crystal system ... cubic
DFT total energy ... -7.26 eV per atom



- Which of these has the lowest formation energy (no corrections)?
  Rb3BrCl2



What did the seventh record say?
A geometry-optimized Rb2PuBr4Cl2 structure, computed with PBE.

Lattice parameters (Å, degrees): 6.637 7.590 7.590 62.13 82.02 82.02
Each line ends with the local moment (μB).
Fractional positions:
Br1 0.701 0.346 0.840  -0.07
Rb1 0.762 0.331 0.331  0.00
Cl1 0.788 0.840 0.840  -0.06
Pu1 0.500 0.000 0.000  4.44
Br2 0.701 0.840 0.346  -0.07
Br3 0.299 0.654 0.160  -0.07
Br4 0.299 0.160 0.654  -0.07
Rb2 0.238 0.669 0.669  0.00
Cl2 0.212 0.160 0.160  -0.06

Results
Formation energy (no corrections) ... -1.6483 eV/atom
Space group ... C2/m (12)
Crystal system ... monoclinic
DFT total energy ... -4.61 eV per atom